Here is crystalline K2BeS at its relaxed geometry from Alexandria via LeMat-Bulk. Energies are from GGA-PBE.

The space group is Fm-3m (No. 225) and the conventional cell measures 7.6920, 7.6920 and 7.6920 Å, with angles of 90.00, 90.00 and 90.00 degrees. Symmetry generates all atoms from K at (0.2500, 0.2500, 0.2500), Be at (0.0000, 0.0000, 0.0000) and S at (0.0000, 0.0000, 0.5000).

The calculation puts the formation energy (no corrections) at 0.065 eV per atom. The total magnetic moment comes out at 0.0 μB per formula unit. The calculation puts the distance to the lowest polymorph of the same formula at 0 meV/atom.